# 1
Material: Ta2CdAs2
Method: DFT, PBE
State: optimized geometry

Summary:
Density of states at the Fermi level, states/eV per cell: 3.749
Distance to the lowest polymorph of the same formula, meV/atom: 412.0

Cell lengths 6.155, 6.155, 6.155 Å; angles 136.48, 136.48, 63.23 degrees
Element x y z (fractional)
Ta1 0.128 0.128 0.000
Ta2 0.872 0.872 0.000
Cd1 0.500 0.500 0.000
As1 0.250 0.750 0.500
As2 0.750 0.250 0.500


# 2
Material: TbSn3Pd12
Method: DFT, PBE
State: optimized geometry

Summary:
Density of states at the Fermi level, states/eV per cell: 4.007
Energy, eV per atom: -5.5304

Cell lengths 4.071, 4.071, 16.200 Å; angles 90.00, 90.00, 90.00 degrees
Element x y z (fractional)
Tb1 0.000 0.000 0.000
Sn1 0.000 0.000 0.253
Sn2 0.000 0.000 0.500
Sn3 0.000 0.000 0.747
Pd1 0.000 0.500 0.130
Pd2 0.000 0.500 0.376
Pd3 0.000 0.500 0.624
Pd4 0.000 0.500 0.870
Pd5 0.500 0.000 0.130
Pd6 0.500 0.000 0.376
Pd7 0.500 0.000 0.624
Pd8 0.500 0.000 0.870
Pd9 0.500 0.500 0.000
Pd10 0.500 0.500 0.253
Pd11 0.500 0.500 0.500
Pd12 0.500 0.500 0.747


# 3
Material: Tb2MgZn2Pt5
Method: DFT, PBE
State: optimized geometry

Summary:
Density of states at the Fermi level, states/eV per cell: 6.417
Energy, eV per atom: -5.2370

Cell lengths 9.642, 9.642, 3.830 Å; angles 90.00, 90.00, 90.00 degrees
Element x y z (fractional)
Tb1 0.176 0.324 0.000
Tb2 0.324 0.824 0.000
Tb3 0.676 0.176 0.000
Tb4 0.824 0.676 0.000
Mg1 0.000 0.000 0.000
Mg2 0.500 0.500 0.000
Zn1 0.122 0.622 0.000
Zn2 0.378 0.122 0.000
Zn3 0.622 0.878 0.000
Zn4 0.878 0.378 0.000
Pt1 0.000 0.500 0.500
Pt2 0.067 0.795 0.500
Pt3 0.205 0.067 0.500
Pt4 0.295 0.567 0.500
Pt5 0.433 0.295 0.500
Pt6 0.500 0.000 0.500
Pt7 0.567 0.705 0.500
Pt8 0.705 0.433 0.500
Pt9 0.795 0.933 0.500
Pt10 0.933 0.205 0.500


# 4
Material: MgBCl
Method: DFT, PBE
State: optimized geometry

Summary:
Density of states at the Fermi level, states/eV per cell: 0.616
Distance to the lowest polymorph of the same formula, meV/atom: 106.3
ΔE_f (raw), eV per atom: -0.706

Cell lengths 8.436, 8.436, 8.436 Å; angles 157.88, 152.69, 35.42 degrees
Element x y z (fractional)
Mg1 0.000 0.000 0.000
Mg2 0.719 0.219 0.500
B1 0.574 0.317 0.742
B2 0.574 0.832 0.258
Cl1 0.247 0.747 0.500
Cl2 0.886 0.386 0.500


# 5
Material: ReSiTcRu
Method: DFT, PBE
State: optimized geometry

Summary:
Density of states at the Fermi level, states/eV per cell: 2.477
ΔE_f (raw), eV per atom: -0.080

Cell lengths 2.807, 3.948, 5.131 Å; angles 90.00, 90.00, 90.00 degrees
Element x y z (fractional)
Re1 0.000 0.000 0.000
Si1 0.500 0.500 0.723
Tc1 0.000 0.000 0.533
Ru1 0.500 0.500 0.214


# 6
Material: Yb2Fe3Si5
Method: DFT, PBE
State: optimized geometry

Summary:
Density of states at the Fermi level, states/eV per cell: 97.071
ΔE_f (raw), eV per atom: -0.587

Cell lengths 10.338, 10.338, 5.444 Å; angles 90.00, 90.00, 90.00 degrees
Element x y z (fractional)
Yb1 0.071 0.233 0.000
Yb2 0.233 0.929 0.000
Yb3 0.267 0.429 0.500
Yb4 0.429 0.733 0.500
Yb5 0.571 0.267 0.500
Yb6 0.733 0.571 0.500
Yb7 0.767 0.071 0.000
Yb8 0.929 0.767 0.000
Fe1 0.000 0.500 0.250
Fe2 0.000 0.500 0.750
Fe3 0.122 0.853 0.500
Fe4 0.147 0.122 0.500
Fe5 0.353 0.622 0.000
Fe6 0.378 0.353 0.000
Fe7 0.500 0.000 0.250
Fe8 0.500 0.000 0.750
Fe9 0.622 0.647 0.000
Fe10 0.647 0.378 0.000
Fe11 0.853 0.878 0.500
Fe12 0.878 0.147 0.500
Si1 0.000 0.000 0.267
Si2 0.000 0.000 0.733
Si3 0.026 0.318 0.500
Si4 0.176 0.676 0.250
Si5 0.176 0.676 0.750
Si6 0.182 0.474 0.000
Si7 0.318 0.974 0.500
Si8 0.324 0.176 0.250
Si9 0.324 0.176 0.750
Si10 0.474 0.818 0.000
Si11 0.500 0.500 0.233
Si12 0.500 0.500 0.767
Si13 0.526 0.182 0.000
Si14 0.676 0.824 0.250
Si15 0.676 0.824 0.750
Si16 0.682 0.026 0.500
Si17 0.818 0.526 0.000
Si18 0.824 0.324 0.250
Si19 0.824 0.324 0.750
Si20 0.974 0.682 0.500


# 7
Material: DyHfCu10
Method: DFT, PBE
State: optimized geometry

Summary:
Density of states at the Fermi level, states/eV per cell: 8.509
Energy, eV per atom: -4.7312

Cell lengths 4.088, 4.964, 8.534 Å; angles 90.00, 90.00, 90.00 degrees
Element x y z (fractional)
Dy1 0.000 0.000 0.000
Hf1 0.000 0.500 0.500
Cu1 0.000 0.000 0.340
Cu2 0.000 0.000 0.660
Cu3 0.000 0.500 0.175
Cu4 0.000 0.500 0.825
Cu5 0.500 0.000 0.500
Cu6 0.500 0.254 0.257
Cu7 0.500 0.254 0.743
Cu8 0.500 0.500 0.000
Cu9 0.500 0.746 0.257
Cu10 0.500 0.746 0.743


# 8
Material: Pm3Ga4Ni4
Method: DFT, PBE
State: optimized geometry

Summary:
Density of states at the Fermi level, states/eV per cell: 6.510
Distance to the lowest polymorph of the same formula, meV/atom: 0.0

Cell lengths 6.420, 6.420, 6.420 Å; angles 109.47, 109.47, 109.47 degrees
Element x y z (fractional)
Pm1 0.000 0.500 0.500
Pm2 0.500 0.000 0.500
Pm3 0.500 0.500 0.000
Ga1 0.000 0.000 0.395
Ga2 0.000 0.395 0.000
Ga3 0.395 0.000 0.000
Ga4 0.605 0.605 0.605
Ni1 0.000 0.000 0.758
Ni2 0.000 0.758 0.000
Ni3 0.242 0.242 0.242
Ni4 0.758 0.000 0.000


# 9
Material: La3RhI
Method: DFT, PBE
State: optimized geometry

Summary:
Density of states at the Fermi level, states/eV per cell: 7.133
Distance to the lowest polymorph of the same formula, meV/atom: 0.0
ΔE_f (raw), eV per atom: -0.475

Cell lengths 5.655, 5.655, 5.655 Å; angles 90.00, 90.00, 90.00 degrees
Element x y z (fractional)
La1 0.000 0.000 0.500
La2 0.000 0.500 0.000
La3 0.500 0.000 0.000
Rh1 0.000 0.000 0.000
I1 0.500 0.500 0.500


# 10
Material: TcPO4
Method: DFT, PBE
State: optimized geometry

Summary:
Distance to the lowest polymorph of the same formula, meV/atom: 252.5
ΔE_f (raw), eV per atom: -1.271

Cell lengths 4.792, 4.792, 7.617 Å; angles 90.00, 90.00, 90.00 degrees
Element x y z (fractional)
Tc1 0.000 0.000 0.000
Tc2 0.000 0.000 0.500
P1 0.000 0.500 0.250
P2 0.500 0.000 0.750
O1 0.189 0.308 0.366
O2 0.189 0.692 0.134
O3 0.308 0.189 0.866
O4 0.308 0.811 0.634
O5 0.692 0.189 0.634
O6 0.692 0.811 0.866
O7 0.811 0.308 0.134
O8 0.811 0.692 0.366